(1)
A crystal of ZnCu2Pb relaxed with PBEsol. Source: Alexandria via LeMat-Bulk, functional SCAN.

Results
Formation enthalpy at 0 K = 0.3622 eV/atom
Total moment = 0.000 μB per formula unit

abc: 3.146 3.146 8.104
angles: 78.81 78.81 60.00
Sites, in units of the cell vectors:
Zn (0.000, 0.000, 0.000)
Cu (0.261, 0.261, 0.217)
Cu (0.739, 0.739, 0.783)
Pb (0.500, 0.500, 0.500)

---

(2)
A crystal of Cu3Pd2 relaxed with PBEsol. Source: Alexandria via LeMat-Bulk, functional SCAN.

Results
Formation enthalpy at 0 K = -0.1046 eV/atom
Total moment = 0.000 μB per formula unit

abc: 2.956 2.956 14.463
angles: 90.00 90.00 90.00
Sites, in units of the cell vectors:
Pd (0.000, 0.000, 0.808)
Pd (0.000, 0.000, 0.192)
Pd (0.000, 0.000, 0.603)
Pd (0.000, 0.000, 0.397)
Cu (0.500, 0.500, 0.705)
Cu (0.500, 0.500, 0.911)
Cu (0.500, 0.500, 0.500)
Cu (0.000, 0.000, 0.000)
Cu (0.500, 0.500, 0.295)
Cu (0.500, 0.500, 0.089)

---

(3)
A crystal of Cu3Pd relaxed with PBEsol. Source: Alexandria via LeMat-Bulk, functional SCAN.

Results
Formation enthalpy at 0 K = -0.0995 eV/atom
Total moment = 0.000 μB per formula unit

abc: 3.661 3.661 25.397
angles: 90.00 90.00 90.00
Sites, in units of the cell vectors:
Cu (0.500, 0.500, 0.071)
Cu (0.000, 0.500, 0.857)
Cu (0.000, 0.000, 0.357)
Cu (0.500, 0.000, 0.000)
Cu (0.500, 0.000, 0.857)
Cu (0.500, 0.000, 0.286)
Cu (0.000, 0.500, 0.286)
Cu (0.500, 0.000, 0.428)
Cu (0.000, 0.500, 0.428)
Cu (0.500, 0.500, 0.785)
Cu (0.000, 0.000, 0.500)
Cu (0.000, 0.500, 0.714)
Cu (0.000, 0.500, 0.572)
Cu (0.500, 0.000, 0.572)
Cu (0.500, 0.000, 0.714)
Cu (0.000, 0.500, 0.000)
Cu (0.000, 0.500, 0.143)
Cu (0.500, 0.500, 0.929)
Cu (0.000, 0.000, 0.643)
Cu (0.500, 0.000, 0.143)
Cu (0.500, 0.500, 0.215)
Pd (0.000, 0.000, 0.785)
Pd (0.000, 0.000, 0.928)
Pd (0.000, 0.000, 0.215)
Pd (0.000, 0.000, 0.072)
Pd (0.500, 0.500, 0.500)
Pd (0.500, 0.500, 0.643)
Pd (0.500, 0.500, 0.357)

---

(4)
A crystal of CuPd relaxed with PBEsol. Source: Alexandria via LeMat-Bulk, functional SCAN.

Results
Formation enthalpy at 0 K = -0.0859 eV/atom
Total moment = 0.000 μB per formula unit

abc: 2.675 2.675 4.494
angles: 72.68 72.68 60.00
Sites, in units of the cell vectors:
Cu (0.000, 0.000, 0.000)
Pd (0.500, 0.500, 0.500)

---

(5)
A crystal of Cu3Pd relaxed with PBEsol. Source: Alexandria via LeMat-Bulk, functional SCAN.

Results
Formation enthalpy at 0 K = -0.0950 eV/atom
Total moment = 0.000 μB per formula unit

abc: 3.650 3.650 3.650
angles: 90.00 90.00 90.00
Sites, in units of the cell vectors:
Cu (0.000, 0.500, 0.500)
Cu (0.500, 0.500, 0.000)
Cu (0.500, 0.000, 0.500)
Pd (0.000, 0.000, 0.000)

---

(6)
A crystal of PrCu3Pd2 relaxed with PBEsol. Source: Alexandria via LeMat-Bulk, functional SCAN.

Results
Formation enthalpy at 0 K = -0.3925 eV/atom
Total moment = 0.000 μB per formula unit

abc: 4.899 5.132 5.132
angles: 63.41 61.49 61.49
Sites, in units of the cell vectors:
Cu (0.134, 0.615, 0.615)
Cu (0.220, 0.280, 0.280)
Cu (0.635, 0.615, 0.615)
Pd (0.632, 0.615, 0.121)
Pd (0.632, 0.121, 0.615)
Pr (0.997, 0.003, 0.003)